No. 1
Crystalline CsSrAsS2 at its relaxed geometry, computed with PBE.

a b c (Å): 8.257 5.151 8.363
angles (deg): 90.00 101.03 90.00
Space group P2/c (No. 13)
Asymmetric unit:
Cs (0.000, 0.181, 0.250) x2
Sr (0.500, 0.492, 0.750) x2
As (0.500, 0.000, 0.000) x2
S (0.270, 0.322, 0.959) x4

Properties
DFT total energy = -39.97 eV per cell
volume = 34.91 Å³/atom



No. 2
Crystalline CsTb2As2S6 at its relaxed geometry, computed with PBE.

a b c (Å): 7.457 7.731 8.064
angles (deg): 89.77 63.45 61.73
Space group P-1 (No. 2)
Asymmetric unit:
Cs (0.000, 0.000, 0.000) x1
Tb (0.368, 0.312, 0.970) x2
As (0.004, 0.341, 0.558) x2
S (0.090, 0.374, 0.799) x2
S (0.283, 0.081, 0.216) x2
S (0.407, 0.492, 0.241) x2

Properties
DFT total energy = -55.46 eV per cell
volume = 32.12 Å³/atom